Entry from the Alexandria database: a geometry-optimized TbPu3 structure (GGA-PBE).

The calculation puts the total DFT energy (no corrections) at -46.6 eV for the cell shown. The offset from the most stable computed form comes out at 0 meV per atom. As for the formation energy: 0.26 eV/atom.

The structure belongs to space group Pm-3m (No. 221); the cell edges are 4.8201, 4.8201 and 4.8201 Å and the angles 90.00°, 90.00° and 90.00°. The asymmetric unit holds Tb at (0.0000, 0.0000, 0.0000) and Pu at (0.0000, 0.5000, 0.5000).


Entry from the Alexandria database: a geometry-optimized TbPu6 structure (GGA-PBE).

The calculation puts the total DFT energy (no corrections) at -179.5 eV for the cell shown. As for the formation energy: 0.12 eV/atom.

The structure belongs to space group Im-3m (No. 229); the cell edges are 6.6901, 6.6901 and 6.6901 Å and the angles 90.00°, 90.00° and 90.00°. The asymmetric unit holds Tb at (0.0000, 0.0000, 0.0000) and Pu at (0.0000, 0.2500, 0.5000).


Entry from the Alexandria database: a geometry-optimized TbPu3Tc3 structure (GGA-PBE).

The calculation puts the total DFT energy (no corrections) at -147.2 eV for the cell shown. As for the formation energy: 0.73 eV/atom.

The structure belongs to space group Pm-3n (No. 223); the cell edges are 7.0972, 7.0972 and 7.0972 Å and the angles 90.00°, 90.00° and 90.00°. The asymmetric unit holds Tb at (0.0000, 0.0000, 0.0000), Pu at (0.0000, 0.2500, 0.5000) and Tc at (0.0000, 0.5000, 0.2500).


Entry from the Alexandria database: a geometry-optimized TbPu2Tc structure (GGA-PBE).

The calculation puts the total DFT energy (no corrections) at -43.3 eV for the cell shown. The offset from the most stable computed form comes out at 0 meV per atom. As for the formation energy: 0.10 eV/atom.

The structure belongs to space group P4/mmm (No. 123); the cell edges are 3.2997, 3.2997 and 8.8417 Å and the angles 90.00°, 90.00° and 90.00°. The asymmetric unit holds Tb at (0.0000, 0.0000, 0.0000), Pu at (0.5000, 0.5000, 0.3011) and Tc at (0.0000, 0.0000, 0.5000).


Entry from the Alexandria database: a geometry-optimized TbPu2Tc3 structure (GGA-PBE).

The calculation puts the total DFT energy (no corrections) at -64.1 eV for the cell shown. As for the formation energy: 0.06 eV/atom.

The structure belongs to space group P6/mmm (No. 191); the cell edges are 5.9371, 5.9371 and 4.0432 Å and the angles 90.00°, 90.00° and 120.00°. The asymmetric unit holds Tb at (0.0000, 0.0000, 0.0000), Pu at (0.3333, 0.6667, 0.0000) and Tc at (0.0000, 0.5000, 0.5000).


Entry from the Alexandria database: a geometry-optimized TbPu2Tc structure (GGA-PBE).

The calculation puts the total DFT energy (no corrections) at -126.9 eV for the cell shown. The offset from the most stable computed form comes out at 242 meV per atom. As for the formation energy: 0.34 eV/atom.

The structure belongs to space group R-3m (No. 166, hexagonal axes); the cell edges are 3.2760, 3.2760 and 32.0505 Å and the angles 90.00°, 90.00° and 120.00°. The asymmetric unit holds Tb at (0.0000, 0.0000, 0.0000), Pu at (0.0000, 0.0000, 0.1004) and Tc at (0.0000, 0.0000, 0.5000).